First-principles (PBE) data for a geometry-optimized SmHo4Tm7 structure, as listed in Alexandria.

Cell lengths 6.664, 6.904, 8.615 Å; angles 79.35, 76.59, 76.44 degrees
Space group P-1 (No. 2)
Symmetry-distinct sites (fractional):
Sm 0.000 0.000 0.000 [1 per cell]
Ho 0.187 0.606 0.336 [2 per cell]
Ho 0.345 0.232 0.683 [2 per cell]
Tm 0.000 0.500 0.000 [1 per cell]
Tm 0.181 0.106 0.368 [2 per cell]
Tm 0.322 0.737 0.671 [2 per cell]
Tm 0.481 0.251 0.025 [2 per cell]

Output
- formation enthalpy at 0 K (eV per formula unit) = 1.00
- energy above the most stable polymorph in this dataset (meV per atom) = 0.0
- total magnetic moment (μB/cell) = 0.00
- N(E_F) (states/eV/atom) = 1.63

First-principles (PBE) data for a geometry-optimized Cs3BaAg2F9 structure, as listed in Alexandria.

Cell lengths 6.5876, 6.5876, 8.3373 Å; angles 90.00, 90.00, 120.00 degrees
Space group P-3m1 (No. 164)
Symmetry-distinct sites (fractional):
Cs 0.0000 0.0000 0.0000 [1 per cell]
Cs 0.3333 0.6667 0.6963 [2 per cell]
Ba 0.0000 0.0000 0.5000 [1 per cell]
Ag 0.3333 0.6667 0.1500 [2 per cell]
F 0.0000 0.5000 0.0000 [3 per cell]
F 0.1744 0.3488 0.3087 [6 per cell]

Output
- ΔE_f (raw) (eV/atom) = -2.33
- total magnetic moment (μB/cell) = 0.83
- N(E_F) (states/eV/atom) = 0.41

First-principles (PBE) data for a geometry-optimized SrMnBe structure, as listed in Alexandria.

Cell lengths 4.0929, 4.0929, 4.6473 Å; angles 90.00, 90.00, 120.00 degrees
Space group P-6m2 (No. 187)
Symmetry-distinct sites (fractional):
Sr 0.0000 0.0000 0.0000 [1 per cell]
Mn 0.3333 0.6667 0.5000 [1 per cell]
Be 0.6667 0.3333 0.5000 [1 per cell]

Output
- formation enthalpy at 0 K (eV per formula unit) = 1.52
- energy above the most stable polymorph in this dataset (meV per atom) = 0.0
- total magnetic moment (μB/cell) = 2.98
- N(E_F) (states/eV/atom) = 0.80

Q: Among the records above, which one has the highest total magnetic moment?
A: SrMnBe

Q: What is the N(E_F) in the third record?
A: 0.80 states/eV/atom

Q: Which value of N(E_F) does entry 2 give?
A: 0.41 states/eV/atom